No. 1
Compound: MnCoTcP2
Source: Alexandria via LeMat-Bulk
Functional: GGA-PBEsol
Structure: optimized geometry

Summary:
- Energy of formation: 404 kJ/mol of formula units
- E: -7.2330 eV per atom
- M_tot: 3.087 μB/f.u.

abc: 4.1130 4.1130 4.3523
angles: 90.00 90.00 90.00
Each line ends with the local moment (μB).
Fractional positions:
P (0.0000, 0.5000, 0.0000)  0.04
P (0.5000, 0.0000, 0.0000)  0.04
Mn (0.0000, 0.0000, 0.5000)  3.58
Co (0.0000, 0.0000, 0.0000)  0.35
Tc (0.5000, 0.5000, 0.5000)  -1.10

No. 2
Compound: MnCo2Pb
Source: Alexandria via LeMat-Bulk
Functional: GGA-PBEsol
Structure: optimized geometry

Summary:
- Energy of formation: 158 kJ/mol of formula units
- E: -6.8992 eV per atom
- M_tot: 5.444 μB/f.u.

abc: 3.7004 3.7690 4.7303
angles: 113.48 113.03 90.00
Each line ends with the local moment (μB).
Fractional positions:
Co (0.0007, 0.0007, 0.0014)  1.15
Co (0.7512, 0.2512, 0.5023)  1.24
Mn (0.4983, 0.4983, 0.9967)  3.11
Pb (0.2498, 0.7498, 0.4996)  -0.08